Li2CrIr: optimized geometry, PBE-GGA.

For the relative energy among the computed polymorphs, the calculation gives 0.0 meV/atom. For the magnetic moment, the calculation gives 0.6 μB per formula unit. The crystal system is cubic. Its formation energy from the elements is 0.020 eV per atom.

Geometry as CIF:
```
data_Li2CrIr
_chemical_formula_sum 'Li8 Cr4 Ir4'
_cell_length_a 5.826
_cell_length_b 5.826
_cell_length_c 5.826
_cell_angle_alpha 90.00
_cell_angle_beta 90.00
_cell_angle_gamma 90.00
_symmetry_space_group_name_H-M 'F -4 3 m'
_symmetry_Int_Tables_number 216
_symmetry_space_group_name_Hall 'F -4 2 3'
loop_
_atom_site_label
_atom_site_type_symbol
_atom_site_fract_x
_atom_site_fract_y
_atom_site_fract_z
_atom_site_occupancy
Li1 Li 0.000 0.000 0.000 1
Li2 Li 0.250 0.250 0.250 1
Cr1 Cr 0.250 0.250 0.750 1
Ir1 Ir 0.000 0.000 0.500 1
```

***

Ta8Mo3W2: optimized geometry, PBE-GGA.

For the magnetic moment, the calculation gives 0.0 μB per formula unit. The crystal system is monoclinic. Its formation energy from the elements is 0.355 eV per atom.

Geometry as CIF:
```
data_Ta8Mo3W2
_chemical_formula_sum 'Ta16 Mo6 W4'
_cell_length_a 17.308
_cell_length_b 5.534
_cell_length_c 4.906
_cell_angle_alpha 90.00
_cell_angle_beta 92.06
_cell_angle_gamma 90.00
_symmetry_space_group_name_H-M 'C 1 2/m 1'
_symmetry_Int_Tables_number 12
_symmetry_space_group_name_Hall '-C 2y'
loop_
_atom_site_label
_atom_site_type_symbol
_atom_site_fract_x
_atom_site_fract_y
_atom_site_fract_z
_atom_site_occupancy
Ta1 Ta 0.072 0.000 0.441 1
Ta2 Ta 0.140 0.500 0.363 1
Ta3 Ta 0.163 0.244 0.890 1
Mo1 Mo 0.000 0.248 0.000 1
Mo2 Mo 0.000 0.500 0.500 1
W1 W 0.218 0.000 0.390 1
```

***

BaCa2CuP: optimized geometry, PBE-GGA.

For the magnetic moment, the calculation gives 0.0 μB per formula unit. The crystal system is tetragonal. Its formation energy from the elements is -0.142 eV per atom.

Geometry as CIF:
```
data_BaCa2CuP
_chemical_formula_sum 'Ba1 Ca2 Cu1 P1'
_cell_length_a 5.662
_cell_length_b 5.662
_cell_length_c 4.807
_cell_angle_alpha 90.00
_cell_angle_beta 90.00
_cell_angle_gamma 90.00
_symmetry_space_group_name_H-M 'P 4/m m m'
_symmetry_Int_Tables_number 123
_symmetry_space_group_name_Hall '-P 4 2'
loop_
_atom_site_label
_atom_site_type_symbol
_atom_site_fract_x
_atom_site_fract_y
_atom_site_fract_z
_atom_site_occupancy
Ba1 Ba 0.000 0.000 0.000 1
Ca1 Ca 0.000 0.500 0.500 1
Cu1 Cu 0.500 0.500 0.000 1
P1 P 0.500 0.500 0.500 1
```

***

Si2PAuC: optimized geometry, PBE-GGA.

For the relative energy among the computed polymorphs, the calculation gives 39.7 meV/atom. For the magnetic moment, the calculation gives 0.0 μB per formula unit. The crystal system is triclinic. The energy relative to the elements, uncorrected is 242.4 meV per atom.

Geometry as CIF:
```
data_Si2PAuC
_chemical_formula_sum 'Si2 P1 Au1 C1'
_cell_length_a 3.303
_cell_length_b 4.700
_cell_length_c 5.820
_cell_angle_alpha 94.35
_cell_angle_beta 100.22
_cell_angle_gamma 106.76
_symmetry_space_group_name_H-M 'P 1'
_symmetry_Int_Tables_number 1
_symmetry_space_group_name_Hall 'P 1'
loop_
_atom_site_label
_atom_site_type_symbol
_atom_site_fract_x
_atom_site_fract_y
_atom_site_fract_z
_atom_site_occupancy
Si1 Si 0.000 0.000 0.000 1
Si2 Si 0.228 0.612 0.573 1
P1 P 0.553 0.246 0.833 1
Au1 Au 0.200 0.085 0.420 1
C1 C 0.798 0.637 0.782 1
```

***

LaPm3Se4: optimized geometry, PBE-GGA.

For the magnetic moment, the calculation gives 0.0 μB per formula unit. The crystal system is cubic. The energy relative to the elements, uncorrected is -1863.3 meV per atom.

Geometry as CIF:
```
data_LaPm3Se4
_chemical_formula_sum 'La1 Pm3 Se4'
_cell_length_a 5.980
_cell_length_b 5.980
_cell_length_c 5.980
_cell_angle_alpha 90.00
_cell_angle_beta 90.00
_cell_angle_gamma 90.00
_symmetry_space_group_name_H-M 'P m -3 m'
_symmetry_Int_Tables_number 221
_symmetry_space_group_name_Hall '-P 4 2 3'
loop_
_atom_site_label
_atom_site_type_symbol
_atom_site_fract_x
_atom_site_fract_y
_atom_site_fract_z
_atom_site_occupancy
La1 La 0.000 0.000 0.000 1
Pm1 Pm 0.000 0.500 0.500 1
Se1 Se 0.000 0.000 0.500 1
Se2 Se 0.500 0.500 0.500 1
```

***

K2Hf2AgSe6: optimized geometry, PBE-GGA.

For the magnetic moment, the calculation gives 0.0 μB per formula unit. The crystal system is monoclinic. The energy relative to the elements, uncorrected is -1084.6 meV per atom.

Geometry as CIF:
```
data_K2Hf2AgSe6
_chemical_formula_sum 'K4 Hf4 Ag2 Se12'
_cell_length_a 6.721
_cell_length_b 11.918
_cell_length_c 8.177
_cell_angle_alpha 90.00
_cell_angle_beta 104.75
_cell_angle_gamma 90.00
_symmetry_space_group_name_H-M 'C 1 2/m 1'
_symmetry_Int_Tables_number 12
_symmetry_space_group_name_Hall '-C 2y'
loop_
_atom_site_label
_atom_site_type_symbol
_atom_site_fract_x
_atom_site_fract_y
_atom_site_fract_z
_atom_site_occupancy
K1 K 0.000 0.158 0.000 1
Hf1 Hf 0.000 0.331 0.500 1
Ag1 Ag 0.000 0.000 0.500 1
Se1 Se 0.213 0.500 0.690 1
Se2 Se 0.241 0.178 0.698 1
```

***

Pu3B2SbRh9: optimized geometry, PBE-GGA.

For the magnetic moment, the calculation gives 12.6 μB per formula unit. The crystal system is trigonal. The energy relative to the elements, uncorrected is -440.9 meV per atom.

Geometry as CIF:
```
data_Pu3B2SbRh9
_chemical_formula_sum 'Pu3 B2 Sb1 Rh9'
_cell_length_a 5.8284
_cell_length_b 5.8284
_cell_length_c 8.8555
_cell_angle_alpha 90.00
_cell_angle_beta 90.00
_cell_angle_gamma 120.00
_symmetry_space_group_name_H-M 'P -3 m 1'
_symmetry_Int_Tables_number 164
_symmetry_space_group_name_Hall '-P 3 2"'
loop_
_atom_site_label
_atom_site_type_symbol
_atom_site_fract_x
_atom_site_fract_y
_atom_site_fract_z
_atom_site_occupancy
Pu1 Pu 0.0000 0.0000 0.0000 1
Pu2 Pu 0.3333 0.6667 0.6704 1
B1 B 0.3333 0.6667 0.1433 1
Sb1 Sb 0.0000 0.0000 0.5000 1
Rh1 Rh 0.0000 0.5000 0.0000 1
Rh2 Rh 0.1626 0.3252 0.2688 1
```

***

CeSm3O6: optimized geometry, PBE-GGA.

For the magnetic moment, the calculation gives 1.0 μB per formula unit. The crystal system is trigonal. The energy relative to the elements, uncorrected is -3376.7 meV per atom.

Geometry as CIF:
```
data_CeSm3O6
_chemical_formula_sum 'Ce6 Sm18 O36'
_cell_length_a 9.9762
_cell_length_b 9.9762
_cell_length_c 11.7627
_cell_angle_alpha 90.00
_cell_angle_beta 90.00
_cell_angle_gamma 120.00
_symmetry_space_group_name_H-M 'R -3'
_symmetry_Int_Tables_number 148
_symmetry_space_group_name_Hall '-R 3'
loop_
_atom_site_label
_atom_site_type_symbol
_atom_site_fract_x
_atom_site_fract_y
_atom_site_fract_z
_atom_site_occupancy
Ce1 Ce 0.0000 0.0000 0.0000 1
Ce2 Ce 0.0000 0.0000 0.5000 1
Sm1 Sm 0.0371 0.2645 0.2117 1
O1 O 0.0274 0.2226 0.4045 1
O2 O 0.0284 0.1874 0.8683 1
```

***

GdAsF: optimized geometry, PBE-GGA.

For the relative energy among the computed polymorphs, the calculation gives 0.0 meV/atom. For the magnetic moment, the calculation gives 6.9 μB per formula unit. The crystal system is hexagonal. The energy relative to the elements, uncorrected is -2116.7 meV per atom.

Geometry as CIF:
```
data_GdAsF
_chemical_formula_sum 'Gd1 As1 F1'
_cell_length_a 3.9751
_cell_length_b 3.9751
_cell_length_c 4.3741
_cell_angle_alpha 90.00
_cell_angle_beta 90.00
_cell_angle_gamma 120.00
_symmetry_space_group_name_H-M 'P -6 m 2'
_symmetry_Int_Tables_number 187
_symmetry_space_group_name_Hall 'P -6 2'
loop_
_atom_site_label
_atom_site_type_symbol
_atom_site_fract_x
_atom_site_fract_y
_atom_site_fract_z
_atom_site_occupancy
Gd1 Gd 0.0000 0.0000 0.0000 1
As1 As 0.6667 0.3333 0.5000 1
F1 F 0.3333 0.6667 0.0000 1
```

***

ScSnHgF2: optimized geometry, PBE-GGA.

For the relative energy among the computed polymorphs, the calculation gives 0.0 meV/atom. For the magnetic moment, the calculation gives 0.0 μB per formula unit. The crystal system is tetragonal. The energy relative to the elements, uncorrected is -2047.2 meV per atom.

Geometry as CIF:
```
data_ScSnHgF2
_chemical_formula_sum 'Sc1 Sn1 Hg1 F2'
_cell_length_a 4.115
_cell_length_b 4.115
_cell_length_c 6.333
_cell_angle_alpha 90.00
_cell_angle_beta 90.00
_cell_angle_gamma 90.00
_symmetry_space_group_name_H-M 'P 4/m m m'
_symmetry_Int_Tables_number 123
_symmetry_space_group_name_Hall '-P 4 2'
loop_
_atom_site_label
_atom_site_type_symbol
_atom_site_fract_x
_atom_site_fract_y
_atom_site_fract_z
_atom_site_occupancy
Sc1 Sc 0.000 0.000 0.000 1
Sn1 Sn 0.000 0.000 0.500 1
Hg1 Hg 0.500 0.500 0.500 1
F1 F 0.000 0.500 0.000 1
```